No. 1
A relaxed Li2TbMg2 crystal. Source: Alexandria, functional PBE.

Values from the calculation:
E_form: -37 meV per atom
Fermi-level density of states: 6.75 states/eV/cell

a = 3.498 Å, b = 6.969 Å, c = 11.058 Å
α = 117.97°, β = 99.10°, γ = 90.00°
Element x y z (fractional)
Li  0.793  0.440  0.587
Mg  0.618  0.178  0.236
Li  0.207  0.560  0.413
Mg  0.382  0.322  0.764
Tb  0.000  0.750  0.000
Li  0.794  0.940  0.587
Mg  0.382  0.822  0.764
Mg  0.618  0.678  0.236
Li  0.206  0.060  0.413
Tb  0.000  0.250  0.000

=====

No. 2
A relaxed CoTeI2 crystal. Source: Alexandria, functional PBE.

Values from the calculation:
Fermi-level density of states: 4.76 states/eV/cell
E: -9.622 eV/cell

a = 5.369 Å, b = 5.369 Å, c = 5.369 Å
α = 60.00°, β = 60.00°, γ = 60.00°
Site moments in Bohr magnetons follow the coordinates.
Element x y z (fractional)
I  0.750  0.750  0.750  -0.01
Te  0.500  0.500  0.500  -0.29
Co  0.000  0.000  0.000  2.07
I  0.250  0.250  0.250  -0.01

=====

No. 3
A relaxed PrNdCu crystal. Source: Alexandria, functional PBE.

Values from the calculation:
E_form: -89 meV per atom
Fermi-level density of states: 6.40 states/eV/cell

a = 3.856 Å, b = 6.608 Å, c = 7.286 Å
α = 74.71°, β = 74.65°, γ = 73.05°
Element x y z (fractional)
Nd  0.218  0.633  0.809
Pr  0.649  0.082  0.497
Cu  0.691  0.401  0.095
Nd  0.401  0.026  0.049
Cu  0.928  0.257  0.763
Pr  0.970  0.577  0.361

=====

No. 4
A relaxed Tb2Dy2Ir3 crystal. Source: Alexandria, functional PBE.

Values from the calculation:
E_form: -805 meV per atom
Fermi-level density of states: 3.23 states/eV/cell

a = 4.817 Å, b = 4.813 Å, c = 8.415 Å
α = 89.97°, β = 106.69°, γ = 120.00°
Element x y z (fractional)
Ir  0.500  0.249  0.750
Tb  0.749  0.874  0.624
Ir  0.000  0.000  0.000
Dy  0.752  0.376  0.127
Ir  0.500  0.751  0.250
Tb  0.251  0.126  0.376
Dy  0.248  0.624  0.873

=====

No. 5
A relaxed Nd2Mg12Hg7 crystal. Source: Alexandria, functional PBE.

Values from the calculation:
E_form: -269 meV per atom
Fermi-level density of states: 9.40 states/eV/cell

a = 4.330 Å, b = 11.513 Å, c = 11.513 Å
α = 120.00°, β = 90.00°, γ = 90.00°
Element x y z (fractional)
Hg  0.500  0.000  0.000
Hg  0.750  0.575  0.863
Mg  0.250  0.431  0.387
Mg  0.750  0.387  0.955
Mg  0.245  0.109  0.265
Nd  0.749  0.667  0.333
Hg  0.250  0.425  0.137
Mg  0.750  0.045  0.431
Hg  0.250  0.863  0.288
Hg  0.750  0.137  0.712
Mg  0.245  0.157  0.891
Mg  0.250  0.613  0.045
Mg  0.755  0.891  0.735
Nd  0.251  0.333  0.667
Mg  0.755  0.843  0.109
Mg  0.755  0.265  0.157
Hg  0.750  0.288  0.425
Mg  0.250  0.955  0.569
Mg  0.245  0.735  0.843
Hg  0.250  0.712  0.575
Mg  0.750  0.569  0.613

=====

No. 6
A relaxed TbHo2Rh crystal. Source: Alexandria, functional PBE.

Values from the calculation:
E_form: -502 meV per atom
Fermi-level density of states: 10.20 states/eV/cell

a = 3.790 Å, b = 6.246 Å, c = 9.392 Å
α = 90.00°, β = 90.00°, γ = 107.67°
Element x y z (fractional)
Rh  0.743  0.487  0.250
Ho  0.861  0.722  0.567
Tb  0.576  0.151  0.750
Rh  0.257  0.513  0.750
Ho  0.139  0.278  0.067
Ho  0.861  0.722  0.933
Tb  0.424  0.849  0.250
Ho  0.139  0.278  0.433

=====

No. 7
A relaxed CsC crystal. Source: Alexandria, functional PBE.

Values from the calculation:
E_form: 1087 meV per atom
Fermi-level density of states: 5.83 states/eV/cell

a = 11.825 Å, b = 11.825 Å, c = 2.942 Å
α = 90.00°, β = 90.00°, γ = 120.00°
Element x y z (fractional)
C  0.982  0.491  0.750
C  0.491  0.509  0.250
Cs  0.790  0.210  0.250
C  0.509  0.491  0.750
C  0.018  0.509  0.250
C  0.509  0.018  0.750
Cs  0.420  0.210  0.250
Cs  0.210  0.790  0.750
Cs  0.580  0.790  0.750
Cs  0.210  0.420  0.750
Cs  0.790  0.580  0.250
C  0.491  0.982  0.250

=====

No. 8
A relaxed ScTe2Pt crystal. Source: Alexandria, functional PBE.

Values from the calculation:
Fermi-level density of states: 1.54 states/eV/cell
E: -20.843 eV/cell

a = 3.311 Å, b = 3.311 Å, c = 9.058 Å
α = 90.00°, β = 90.00°, γ = 90.02°
Element x y z (fractional)
Te  0.500  0.500  0.324
Pt  0.000  0.000  0.537
Te  0.000  0.000  0.935
Sc  0.500  0.500  0.704